[1]
A plane-wave DFT calculation with GGA-PBE was carried out for crystalline Ce3In2Ge3 at its relaxed geometry.

Unit cell a=6.1912 b=8.9137 c=8.9137 alpha=120.00 beta=90.00 gamma=90.00
Site moments in Bohr magnetons follow the coordinates.
Fractional positions:
Ge 0.7500 0.3437 0.3437  0.00
Ce 0.7500 0.0000 0.3258  0.60
In 0.0000 0.3333 0.6667  0.01
Ge 0.2500 0.3437 0.0000  0.00
Ce 0.2500 0.6742 0.0000  0.60
Ce 0.7500 0.3258 0.0000  0.60
Ge 0.2500 0.6563 0.6563  0.00
Ce 0.2500 0.0000 0.6742  0.60
Ge 0.7500 0.0000 0.6563  0.00
Ce 0.7500 0.6742 0.6742  0.60
In 0.5000 0.6667 0.3333  0.01
Ge 0.7500 0.6563 0.0000  0.00
In 0.0000 0.6667 0.3333  0.01
Ge 0.2500 0.0000 0.3437  0.00
In 0.5000 0.3333 0.6667  0.01
Ce 0.2500 0.3258 0.3258  0.60

## Properties
The calculation puts the energy relative to the elements at -0.44 eV per atom. Its electronic total energy is -5.08 eV per atom.



[2]
A plane-wave DFT calculation with GGA-PBE was carried out for crystalline Ce8In3Ge2 at its relaxed geometry.

Unit cell a=5.6680 b=9.3853 c=8.4660 alpha=123.66 beta=78.79 gamma=90.00
Site moments in Bohr magnetons follow the coordinates.
Fractional positions:
Ge 0.4191 0.2217 0.4434  -0.01
Ce 0.0557 0.8398 0.6796  0.31
Ce 0.5775 0.5644 0.7339  0.36
In 0.5000 0.0000 0.0000  0.01
Ce 0.9443 0.1602 0.3204  0.31
Ce 0.5775 0.1695 0.7339  0.36
Ce 0.9328 0.3532 0.7063  0.20
Ge 0.5809 0.7783 0.5566  -0.01
In 0.0000 0.7498 0.0000  0.00
Ce 0.0672 0.6468 0.2937  0.20
Ce 0.4225 0.4356 0.2661  0.36
In 0.0000 0.2502 0.0000  0.00
Ce 0.4225 0.8305 0.2661  0.36

## Properties
The calculation puts the energy relative to the elements at -0.26 eV per atom. Its electronic total energy is -5.25 eV per atom.



[3]
A plane-wave DFT calculation with GGA-PBE was carried out for crystalline Ce8InGe6 at its relaxed geometry.

Unit cell a=8.9005 b=8.9005 c=7.9569 alpha=55.99 beta=55.99 gamma=60.00
Site moments in Bohr magnetons follow the coordinates.
Fractional positions:
Ce 0.2163 0.8998 0.2829  0.70
Ce 0.3990 0.7837 0.7171  0.70
Ge 0.7254 0.4254 0.7833  -0.03
Ge 0.4254 0.0659 0.7833  -0.03
Ge 0.2746 0.5746 0.2167  -0.03
Ce 0.8998 0.6010 0.2829  0.70
In 0.0000 0.0000 0.0000  0.07
Ce 0.1002 0.3990 0.7171  0.70
Ce 0.7837 0.1002 0.7171  0.70
Ge 0.5746 0.9341 0.2167  -0.03
Ce 0.3364 0.3364 0.9909  0.84
Ge 0.0659 0.7254 0.7833  -0.03
Ce 0.6636 0.6636 0.0091  0.84
Ce 0.6010 0.2163 0.2829  0.70
Ge 0.9341 0.2746 0.2167  -0.03

## Properties
The calculation puts the energy relative to the elements at -0.51 eV per atom. Its electronic total energy is -5.70 eV per atom.



[4]
A plane-wave DFT calculation with GGA-PBE was carried out for crystalline Ce5In2Ge at its relaxed geometry.

Unit cell a=8.4416 b=8.4416 c=8.5521 alpha=119.57 beta=119.57 gamma=90.00
Site moments in Bohr magnetons follow the coordinates.
Fractional positions:
In 0.1277 0.3723 0.0000  0.00
Ce 0.8419 0.0011 0.3430  0.74
Ge 0.7500 0.7500 0.5000  -0.03
Ce 0.1581 0.9989 0.6570  0.74
Ge 0.2500 0.2500 0.5000  -0.03
Ce 0.0000 0.0000 0.0000  0.73
Ce 0.0011 0.5011 0.3430  0.74
Ce 0.5000 0.5000 0.0000  0.73
In 0.8723 0.6277 0.0000  0.00
In 0.3723 0.8723 0.0000  0.00
Ce 0.9989 0.4989 0.6570  0.74
In 0.6277 0.1277 0.0000  0.00
Ce 0.6581 0.1581 0.6570  0.74
Ce 0.4989 0.6581 0.6570  0.74
Ce 0.5011 0.3419 0.3430  0.74
Ce 0.3419 0.8419 0.3430  0.74

## Properties
The calculation puts the energy relative to the elements at -0.35 eV per atom. Its electronic total energy is -5.32 eV per atom.